--- w ---
ScCoNiAs | GGA-PBE | relaxed Values from VASP.

Summary:
- Calculated density: 6.87 g/cm³
- Volume: 57.4 Å³/f.u.

Quantum ESPRESSO input file:
```
&SYSTEM
  ibrav = 0, nat = 16, ntyp = 4
/
ATOMIC_SPECIES
Sc 44.96 Sc.upf
Co 58.93 Co.upf
Ni 58.69 Ni.upf
As 74.92 As.upf
ATOMIC_POSITIONS crystal
Sc 0.000 0.000 0.000
Sc 0.000 0.500 0.500
Sc 0.500 0.000 0.500
Sc 0.500 0.500 0.000
Co 0.250 0.250 0.750
Co 0.250 0.750 0.250
Co 0.750 0.250 0.250
Co 0.750 0.750 0.750
Ni 0.000 0.000 0.500
Ni 0.000 0.500 0.000
Ni 0.500 0.000 0.000
Ni 0.500 0.500 0.500
As 0.250 0.250 0.250
As 0.250 0.750 0.750
As 0.750 0.250 0.750
As 0.750 0.750 0.250
CELL_PARAMETERS angstrom
6.123 0.000 0.000
0.000 6.123 0.000
0.000 0.000 6.123
```

---

--- x ---
ScCoNiAs | GGA-PBE | relaxed Values from VASP.

Summary:
- Calculated density: 7.41 g/cm³
- Volume: 53.2 Å³/f.u.

Quantum ESPRESSO input file:
```
&SYSTEM
  ibrav = 0, nat = 16, ntyp = 4
/
ATOMIC_SPECIES
Sc 44.96 Sc.upf
Co 58.93 Co.upf
Ni 58.69 Ni.upf
As 74.92 As.upf
ATOMIC_POSITIONS crystal
Sc 0.000 0.000 0.000
Sc 0.000 0.500 0.500
Sc 0.500 0.000 0.500
Sc 0.500 0.500 0.000
Co 0.250 0.250 0.250
Co 0.250 0.750 0.750
Co 0.750 0.250 0.750
Co 0.750 0.750 0.250
Ni 0.250 0.250 0.750
Ni 0.250 0.750 0.250
Ni 0.750 0.250 0.250
Ni 0.750 0.750 0.750
As 0.000 0.000 0.500
As 0.000 0.500 0.000
As 0.500 0.000 0.000
As 0.500 0.500 0.500
CELL_PARAMETERS angstrom
5.971 0.000 0.000
0.000 5.971 0.000
0.000 0.000 5.971
```

---

Energy relative to the most stable one, in eV/atom: w 0.212; x 0.000

---

--- w ---
YCoNiAs | GGA-PBE | relaxed Values from VASP.

Summary:
- Calculated density: 7.67 g/cm³
- Volume: 61.0 Å³/f.u.

Quantum ESPRESSO input file:
```
&SYSTEM
  ibrav = 0, nat = 16, ntyp = 4
/
ATOMIC_SPECIES
Y 88.91 Y.upf
Co 58.93 Co.upf
Ni 58.69 Ni.upf
As 74.92 As.upf
ATOMIC_POSITIONS crystal
Y 0.000 0.000 0.000
Y 0.000 0.500 0.500
Y 0.500 0.000 0.500
Y 0.500 0.500 0.000
Co 0.250 0.250 0.750
Co 0.250 0.750 0.250
Co 0.750 0.250 0.250
Co 0.750 0.750 0.750
Ni 0.250 0.250 0.250
Ni 0.250 0.750 0.750
Ni 0.750 0.250 0.750
Ni 0.750 0.750 0.250
As 0.000 0.000 0.500
As 0.000 0.500 0.000
As 0.500 0.000 0.000
As 0.500 0.500 0.500
CELL_PARAMETERS angstrom
6.248 0.000 0.000
0.000 6.248 0.000
0.000 0.000 6.248
```

---

--- x ---
YCoNiAs | GGA-PBE | relaxed Values from VASP.

Summary:
- Calculated density: 7.17 g/cm³
- Volume: 65.1 Å³/f.u.

Quantum ESPRESSO input file:
```
&SYSTEM
  ibrav = 0, nat = 16, ntyp = 4
/
ATOMIC_SPECIES
Y 88.91 Y.upf
Co 58.93 Co.upf
Ni 58.69 Ni.upf
As 74.92 As.upf
ATOMIC_POSITIONS crystal
Y 0.000 0.000 0.000
Y 0.000 0.500 0.500
Y 0.500 0.000 0.500
Y 0.500 0.500 0.000
Co 0.000 0.000 0.500
Co 0.000 0.500 0.000
Co 0.500 0.000 0.000
Co 0.500 0.500 0.500
Ni 0.250 0.250 0.750
Ni 0.250 0.750 0.250
Ni 0.750 0.250 0.250
Ni 0.750 0.750 0.750
As 0.250 0.250 0.250
As 0.250 0.750 0.750
As 0.750 0.250 0.750
As 0.750 0.750 0.250
CELL_PARAMETERS angstrom
6.387 0.000 0.000
0.000 6.387 0.000
0.000 0.000 6.387
```

---

Energy relative to the most stable one, in eV/atom: w 0.000; x 0.104